# 1
Entry from OQMD via LeMat-Bulk: a relaxed La3Cd3Ag2Pd crystal (GGA-PBE).

Computed properties:
Energy relative to the elements, meV/atom: -450
E, eV per atom: -3.592

Cell: 7.858 7.858 4.222 Å, 90.00 90.00 120.00°
Atoms (fractional coordinates):
La  0.000  0.599  0.000
La  0.401  0.401  0.000
La  0.599  0.000  0.000
Cd  0.000  0.246  0.500
Cd  0.246  0.000  0.500
Cd  0.754  0.754  0.500
Ag  0.333  0.667  0.500
Ag  0.667  0.333  0.500
Pd  0.000  0.000  0.000



# 2
Entry from OQMD via LeMat-Bulk: a relaxed Li2Mg2ZnCdAg2 crystal (GGA-PBE).

Computed properties:
E, eV per atom: -2.063

Cell: 4.598 4.598 6.541 Å, 90.00 90.00 90.00°
Atoms (fractional coordinates):
Li  0.000  0.500  0.236
Li  0.500  0.000  0.764
Mg  0.000  0.000  0.000
Mg  0.500  0.500  0.500
Zn  0.500  0.500  0.000
Cd  0.000  0.000  0.500
Ag  0.000  0.500  0.766
Ag  0.500  0.000  0.234



# 3
Entry from OQMD via LeMat-Bulk: a relaxed Li4CdAgPb2 crystal (GGA-PBE).

Computed properties:
E, eV per atom: -2.616

Cell: 4.802 4.802 6.786 Å, 90.00 90.00 90.00°
Atoms (fractional coordinates):
Li  0.000  0.000  0.000
Li  0.000  0.500  0.239
Li  0.500  0.000  0.761
Li  0.500  0.500  0.500
Cd  0.000  0.000  0.500
Ag  0.500  0.500  0.000
Pb  0.000  0.500  0.758
Pb  0.500  0.000  0.242



# 4
Entry from OQMD via LeMat-Bulk: a relaxed Li2Tl2Cd2AgPd crystal (GGA-PBE).

Computed properties:
E, eV per atom: -2.519

Cell: 4.757 4.757 6.730 Å, 90.00 90.00 90.00°
Atoms (fractional coordinates):
Li  0.000  0.000  0.000
Li  0.500  0.500  0.500
Tl  0.000  0.500  0.240
Tl  0.500  0.000  0.760
Cd  0.000  0.500  0.756
Cd  0.500  0.000  0.244
Ag  0.000  0.000  0.500
Pd  0.500  0.500  0.000